## MnNiRu2 (PBE)

Data for a relaxed MnNiRu2 crystal.

Properties
total moment	2.56	μB/f.u.
SG	I-4m2
crystal system	tetragonal
ΔE_f	0.045	eV per atom

```
MnNiRu2
1.0
-3.7144 1.2502 -2.3747
-3.5889 0.5389 2.7980
4.2860 1.6171 0.1176
Ru Ni Mn
2 1 1
Direct
0.7500 0.2500 0.5000
0.0000 0.0000 0.0000
0.2500 0.7500 0.5000
0.5000 0.5000 0.0000
```

---

## MnNiRu (PBE)

Data for a relaxed MnNiRu crystal.

Properties
total moment	2.00	μB/f.u.
SG	F-43m
crystal system	cubic
ΔE_f	0.426	eV per atom

```
MnNiRu
1.0
-2.1220 -3.2763 -0.1589
-0.1885 -2.0459 -3.3227
1.7786 -3.4684 -0.2619
Ru Mn Ni
1 1 1
Direct
0.5000 0.5000 0.5000
0.7500 0.7500 0.7500
0.0000 0.0000 0.0000
```

---

## MnNi2Ru2 (PBE)

Data for a relaxed MnNi2Ru2 crystal.

Properties
total moment	1.97	μB/f.u.
SG	P4/mbm
crystal system	tetragonal
ΔE_f	0.295	eV per atom

```
MnNi2Ru2
1.0
-0.4494 -2.5777 6.5030
0.4013 -6.5152 -2.5548
2.6875 0.0802 0.2175
Mn Ni Ru
2 4 4
Direct
0.0000 0.0000 0.0000
0.5000 0.5000 0.0000
0.8801 0.6199 0.0000
0.1199 0.3801 0.0000
0.6199 0.1199 0.0000
0.3801 0.8801 0.0000
0.3232 0.1768 0.5000
0.8232 0.3232 0.5000
0.6768 0.8232 0.5000
0.1768 0.6768 0.5000
```

---

## MnNiRu2 (PBE)

Data for a relaxed MnNiRu2 crystal.

Properties
total moment	3.11	μB/f.u.
SG	Immm
crystal system	orthorhombic
ΔE_f	0.249	eV per atom

```
MnNiRu2
1.0
-4.9678 1.1572 -1.1940
-2.9551 -3.1234 -2.9926
2.8410 0.7038 4.3448
Ru Mn Ni
2 1 1
Direct
0.5302 0.5302 0.0000
0.9698 0.9698 0.0000
0.7500 0.2500 0.5000
0.2500 0.7500 0.5000
```

---

## MnNiRu2 (PBE)

Data for a relaxed MnNiRu2 crystal.

Properties
total moment	2.07	μB/f.u.
SG	C2/m
crystal system	monoclinic
ΔE_f	0.105	eV per atom

```
MnNiRu2
1.0
-0.8861 4.3917 0.1475
-2.7166 3.2686 -1.4250
-3.0406 0.1009 3.4674
Ru Ni Mn
2 1 1
Direct
0.0021 0.0021 0.0020
0.4979 0.4979 0.4980
0.2500 0.2500 0.2500
0.7500 0.7500 0.7500
```

---

## MnNiRu2 (PBE)

Data for a relaxed MnNiRu2 crystal.

Properties
total moment	0.19	μB/f.u.
SG	R-3m
crystal system	trigonal
ΔE_f	0.129	eV per atom

```
MnNiRu2
1.0
-5.4757 -1.1304 -6.4987
-5.7304 -3.4854 -5.3394
-7.1590 -1.4371 -4.4920
Ru Ni Mn
2 1 1
Direct
0.5019 0.5019 0.5019
0.9981 0.9981 0.9981
0.7500 0.7500 0.7500
0.2500 0.2500 0.2500
```

---

## Mn2Ni2Ru (PBE)

Data for a relaxed Mn2Ni2Ru crystal.

Properties
total moment	0.00	μB/f.u.
SG	P4/mbm
crystal system	tetragonal
ΔE_f	0.279	eV per atom

```
Mn2Ni2Ru
1.0
6.6759 0.0000 0.0000
0.0000 6.6759 0.0000
0.0000 0.0000 2.6025
Ni Ru Mn
4 2 4
Direct
0.3767 0.8767 0.0000
0.6233 0.1233 0.0000
0.1233 0.3767 0.0000
0.8767 0.6233 0.0000
0.5000 0.5000 0.0000
0.0000 0.0000 0.0000
0.3255 0.1745 0.5000
0.1745 0.6745 0.5000
0.8255 0.3255 0.5000
0.6745 0.8255 0.5000
```

---

## Mn2Ni2Ru (PBE)

Data for a relaxed Mn2Ni2Ru crystal.

Properties
total moment	0.00	μB/f.u.
SG	P4/mbm
crystal system	tetragonal
ΔE_f	0.307	eV per atom

```
Mn2Ni2Ru
1.0
-1.5544 4.8078 4.4623
3.4037 -3.3290 4.7724
2.1530 1.2876 -0.6373
Ru Ni Mn
2 4 4
Direct
0.0000 0.0000 0.0000
0.5000 0.5000 0.0000
0.3131 0.1869 0.5000
0.1869 0.6869 0.5000
0.8131 0.3131 0.5000
0.6869 0.8131 0.5000
0.8930 0.6070 0.0000
0.3930 0.8930 0.0000
0.1070 0.3930 0.0000
0.6070 0.1070 0.0000
```

---

Number 1: calculated density 10.21 g/cm³. Number 2: calculated density 8.46 g/cm³. Number 3: calculated density 9.38 g/cm³. Number 4: calculated density 9.74 g/cm³. Number 5: calculated density 10.15 g/cm³. Number 6: calculated density 10.32 g/cm³. Number 7: calculated density 9.40 g/cm³. Number 8: calculated density 9.27 g/cm³.